DFT (SCAN) results for CaTaCd2Pb at its PBEsol-relaxed geometry.

The calculation puts the formation energy from the elements at 987 meV/atom. The value obtained for the magnetization is 1.8 μB/f.u.

It has space group P4/mmm (No. 123), with a = 5.400 Å, b = 5.400 Å, c = 5.368 Å, α = 90.00°, β = 90.00° and γ = 90.00°. The asymmetric unit holds Ca at (0.000, 0.000, 0.000), Ta at (0.500, 0.500, 0.000), Cd at (0.000, 0.500, 0.500) and Pb at (0.500, 0.500, 0.500).

***

DFT (SCAN) results for LaRe2W at its PBEsol-relaxed geometry.

The calculation puts the formation energy from the elements at 459 meV/atom. The value obtained for the magnetization is 0.0 μB/f.u.

It has space group P4mm (No. 99), with a = 3.094 Å, b = 3.094 Å, c = 7.759 Å, α = 90.00°, β = 90.00° and γ = 90.00°. The asymmetric unit holds La at (0.000, 0.000, 0.000), Re at (0.000, 0.000, 0.493), Re at (0.500, 0.500, 0.305) and W at (0.500, 0.500, 0.690).

***

DFT (SCAN) results for PBr2O at its PBEsol-relaxed geometry.

The value obtained for the magnetization is 1.0 μB/f.u. As for the uncorrected formation energy: 825 meV per atom.

It has space group I-42d (No. 122), with a = 6.636 Å, b = 6.636 Å, c = 7.038 Å, α = 90.00°, β = 90.00° and γ = 90.00°. The asymmetric unit holds P at (0.000, 0.000, 0.000), Br at (0.245, 0.250, 0.625) and O at (0.000, 0.000, 0.500).

***

DFT (SCAN) results for ScFeTe2 at its PBEsol-relaxed geometry.

The value obtained for the magnetization is 2.8 μB/f.u. As for the uncorrected formation energy: -613 meV per atom.

It has space group P4mm (No. 99), with a = 3.711 Å, b = 3.711 Å, c = 6.497 Å, α = 90.00°, β = 90.00° and γ = 90.00°. The asymmetric unit holds Sc at (0.000, 0.000, 0.000), Fe at (0.500, 0.500, 0.733), Te at (0.000, 0.000, 0.576) and Te at (0.500, 0.500, 0.153).

***

DFT (SCAN) results for Tb2AlGe6 at its PBEsol-relaxed geometry.

The calculation puts the formation energy from the elements at -453 meV/atom. The value obtained for the magnetization is 0.0 μB/f.u.

It has space group C2/m (No. 12), with a = 8.264 Å, b = 8.475 Å, c = 10.371 Å, α = 90.00°, β = 102.14° and γ = 90.00°. The asymmetric unit holds Tb at (0.090, 0.247, 0.338), Al at (0.197, 0.000, 0.799), Ge at (0.007, 0.500, 0.881), Ge at (0.070, 0.000, 0.119), Ge at (0.134, 0.500, 0.593), Ge at (0.149, 0.000, 0.556) and Ge at (0.217, 0.286, 0.881).

***

DFT (SCAN) results for Cd5Pt at its PBEsol-relaxed geometry.

The calculation puts the formation energy from the elements at -132 meV/atom. The value obtained for the magnetization is 0.0 μB/f.u.

It has space group Cmmm (No. 65), with a = 4.224 Å, b = 12.597 Å, c = 4.219 Å, α = 90.00°, β = 90.00° and γ = 90.00°. The asymmetric unit holds Cd at (0.000, 0.000, 0.000), Cd at (0.000, 0.160, 0.500), Cd at (0.000, 0.338, 0.000) and Pt at (0.000, 0.500, 0.500).

***

DFT (SCAN) results for CaRuW2 at its PBEsol-relaxed geometry.

The calculation puts the formation energy from the elements at 498 meV/atom. The value obtained for the magnetization is 0.0 μB/f.u.

It has space group Immm (No. 71), with a = 3.060 Å, b = 4.530 Å, c = 9.633 Å, α = 90.00°, β = 90.00° and γ = 90.00°. The asymmetric unit holds Ca at (0.000, 0.000, 0.000), Ru at (0.000, 0.000, 0.500) and W at (0.000, 0.500, 0.232).

***

DFT (SCAN) results for YOsPb at its PBEsol-relaxed geometry.

The calculation puts the formation energy from the elements at 426 meV/atom. The value obtained for the magnetization is 1.4 μB/f.u.

It has space group F-43m (No. 216), with a = 6.603 Å, b = 6.603 Å, c = 6.603 Å, α = 90.00°, β = 90.00° and γ = 90.00°. The asymmetric unit holds Y at (0.000, 0.000, 0.000), Os at (0.000, 0.000, 0.500) and Pb at (0.250, 0.250, 0.250).

***

DFT (SCAN) results for InMoRu at its PBEsol-relaxed geometry.

The calculation puts the formation energy from the elements at 310 meV/atom. The value obtained for the magnetization is 0.0 μB/f.u.

It has space group F-43m (No. 216), with a = 6.051 Å, b = 6.051 Å, c = 6.051 Å, α = 90.00°, β = 90.00° and γ = 90.00°. The asymmetric unit holds In at (0.000, 0.000, 0.000), Mo at (0.000, 0.000, 0.500) and Ru at (0.250, 0.250, 0.250).

***

DFT (SCAN) results for HgMo2Ru at its PBEsol-relaxed geometry.

The calculation puts the formation energy from the elements at 384 meV/atom. The value obtained for the magnetization is 1.0 μB/f.u.

It has space group Cmm2 (No. 35), with a = 3.153 Å, b = 4.522 Å, c = 9.003 Å, α = 90.00°, β = 90.00° and γ = 90.00°. The asymmetric unit holds Hg at (0.000, 0.000, 0.000), Mo at (0.000, 0.000, 0.491), Mo at (0.000, 0.500, 0.726) and Ru at (0.000, 0.500, 0.267).

***

DFT (SCAN) results for KIrPb at its PBEsol-relaxed geometry.

The calculation puts the formation energy from the elements at 559 meV/atom. The value obtained for the magnetization is 0.0 μB/f.u.

It has space group F-43m (No. 216), with a = 6.741 Å, b = 6.741 Å, c = 6.741 Å, α = 90.00°, β = 90.00° and γ = 90.00°. The asymmetric unit holds K at (0.000, 0.000, 0.000), Ir at (0.250, 0.250, 0.750) and Pb at (0.000, 0.000, 0.500).

***

DFT (SCAN) results for Fe2CuHg at its PBEsol-relaxed geometry.

The calculation puts the formation energy from the elements at 304 meV/atom. The value obtained for the magnetization is 5.6 μB/f.u.

It has space group R3m (No. 160, hexagonal axes), with a = 2.8175 Å, b = 2.8175 Å, c = 24.4299 Å, α = 90.00°, β = 90.00° and γ = 120.00°. The asymmetric unit holds Fe at (0.0000, 0.0000, 0.0000), Fe at (0.0000, 0.0000, 0.2640), Cu at (0.0000, 0.0000, 0.5192) and Hg at (0.0000, 0.0000, 0.7604).